This record from Alexandria describes an optimized crystal structure of NaMgAu. The functional is PBE-GGA.

SG = P2/m, No. 10
excess energy over the best structure of this formula in the dataset = 51 meV per atom
calculated total energy = -14.25 eV/cell
total moment = 0.00 μB/cell
N(E_F) = 1.3 states/eV per cell
ΔH_f (0 K) = -0.31 eV/atom

Cell: 4.6345 3.5089 7.9266 Å, 90.00 106.78 90.00°
Fractional positions:
Na1 0.0000 0.0000 0.0000
Na2 0.5000 0.5000 0.0000
Mg1 0.1843 0.5000 0.3675
Mg2 0.8157 0.5000 0.6325
Au1 0.3323 0.0000 0.6674
Au2 0.6677 0.0000 0.3326

=====

This record from Alexandria describes an optimized crystal structure of P2PbW. The functional is PBE-GGA.

SG = R-3m, No. 166
calculated total energy = -27.50 eV/cell
total moment = 0.00 μB/cell
N(E_F) = 2.9 states/eV per cell
ΔH_f (0 K) = 0.00 eV/atom

Cell: 9.0953 9.0953 9.0953 Å, 20.60 20.60 20.60°
Fractional positions:
P1 0.2266 0.2266 0.2266
P2 0.7734 0.7734 0.7734
Pb1 0.0000 0.0000 0.0000
W1 0.5000 0.5000 0.5000

=====

This record from Alexandria describes an optimized crystal structure of SrPtCl2. The functional is PBE-GGA.

SG = Immm, No. 71
excess energy over the best structure of this formula in the dataset = 344 meV per atom
raw formation energy = -22.6 kcal/mol of atoms
calculated total energy = -15.34 eV/cell
total moment = 0.00 μB/cell
N(E_F) = 1.0 states/eV per cell

Cell: 5.1721 5.1721 5.1721 Å, 131.44 115.13 85.04°
Fractional positions:
Sr1 0.0000 0.0000 0.0000
Pt1 0.5000 0.5000 0.0000
Cl1 0.2914 0.7914 0.5000
Cl2 0.7086 0.2086 0.5000

=====

This record from Alexandria describes an optimized crystal structure of Ho4GaSb. The functional is PBE-GGA.

SG = Fddd, No. 70
raw formation energy = -9.6 kcal/mol of atoms
calculated total energy = -55.93 eV/cell
total moment = 0.00 μB/cell
N(E_F) = 12.6 states/eV per cell

Cell: 8.6334 8.6305 7.0739 Å, 65.83 65.79 48.38°
Fractional positions:
Ho1 0.0004 0.4995 0.2377
Ho2 0.9996 0.5005 0.7623
Ho3 0.2375 0.7623 0.5005
Ho4 0.2377 0.7625 0.0004
Ho5 0.4995 0.0004 0.7625
Ho6 0.5005 0.9996 0.2375
Ho7 0.7623 0.2375 0.9996
Ho8 0.7625 0.2377 0.4995
Ga1 0.1250 0.1250 0.1250
Ga2 0.8750 0.8750 0.8750
Sb1 0.3750 0.3750 0.3750
Sb2 0.6250 0.6250 0.6250

=====

This record from Alexandria describes an optimized crystal structure of Nb4MoRu2. The functional is PBE-GGA.

SG = I4/mmm, No. 139
excess energy over the best structure of this formula in the dataset = 0 meV per atom
calculated total energy = -69.35 eV/cell
total moment = 0.00 μB/cell
N(E_F) = 4.6 states/eV per cell
ΔH_f (0 K) = 0.04 eV/atom

Cell: 5.4671 5.4671 5.4671 Å, 108.79 108.79 110.84°
Fractional positions:
Nb1 0.0000 0.0000 0.5000
Nb2 0.0000 0.5000 0.0000
Nb3 0.5000 0.0000 0.0000
Nb4 0.5000 0.5000 0.5000
Mo1 0.0000 0.0000 0.0000
Ru1 0.0000 0.5000 0.5000
Ru2 0.5000 0.0000 0.5000

=====

This record from Alexandria describes an optimized crystal structure of Sm2TmCl. The functional is PBE-GGA.

SG = R-3m, No. 166
raw formation energy = -15.1 kcal/mol of atoms
calculated total energy = -18.38 eV/cell
total moment = 0.00 μB/cell
N(E_F) = 4.3 states/eV per cell

Cell: 10.3776 10.3776 10.3776 Å, 20.12 20.12 20.12°
Fractional positions:
Sm1 0.2402 0.2402 0.2402
Sm2 0.7598 0.7598 0.7598
Tm1 0.0000 0.0000 0.0000
Cl1 0.5000 0.5000 0.5000

=====

This record from Alexandria describes an optimized crystal structure of Tb3Dy6Y2In. The functional is PBE-GGA.

SG = C2/m, No. 12
calculated total energy = -57.68 eV/cell
total moment = 0.01 μB/cell
N(E_F) = 16.4 states/eV per cell
ΔH_f (0 K) = -0.04 eV/atom

Cell: 6.0920 6.0920 11.6620 Å, 95.03 95.03 120.04°
Fractional positions:
Tb1 0.0000 0.0000 0.0000
Tb2 0.3328 0.6672 0.0000
Tb3 0.6672 0.3328 0.0000
Dy1 0.0901 0.4183 0.2527
Dy2 0.2536 0.2536 0.7488
Dy3 0.4183 0.0901 0.2527
Dy4 0.5817 0.9099 0.7473
Dy5 0.7464 0.7464 0.2512
Dy6 0.9099 0.5817 0.7473
Y1 0.1661 0.8339 0.5000
Y2 0.8339 0.1661 0.5000
In1 0.5000 0.5000 0.5000

=====

This record from Alexandria describes an optimized crystal structure of TbSn2As2Pd7. The functional is PBE-GGA.

SG = C2/m, No. 12
calculated total energy = -63.87 eV/cell
total moment = 0.00 μB/cell
N(E_F) = 4.5 states/eV per cell
ΔH_f (0 K) = -0.47 eV/atom

Cell: 4.2087 4.2087 12.6827 Å, 94.27 94.27 89.45°
Fractional positions:
Tb1 0.0000 0.0000 0.0000
Sn1 0.0677 0.0677 0.3373
Sn2 0.9323 0.9323 0.6627
As1 0.4415 0.4415 0.7205
As2 0.5585 0.5585 0.2795
Pd1 0.0327 0.5360 0.1643
Pd2 0.2782 0.2782 0.5302
Pd3 0.4640 0.9673 0.8357
Pd4 0.5000 0.5000 0.0000
Pd5 0.5360 0.0327 0.1643
Pd6 0.7218 0.7218 0.4698
Pd7 0.9673 0.4640 0.8357